(1)
{
  "formula": "Zr2CuRh2",
  "functional": "PBE-GGA",
  "state": "relaxed",
  "lattice_angstrom": [[-0.9748, -7.1402, 1.0247], [2.7129, -1.3210, -6.6240], [3.1144, -0.2354, 1.3225]],
  "species": ["Rh", "Rh", "Rh", "Rh", "Cu", "Cu", "Zr", "Zr", "Zr", "Zr"],
  "frac_coords": [[0.3621, 0.8621, 0.0000], [0.8621, 0.6379, 0.0000], [0.6379, 0.1379, 0.0000], [0.1379, 0.3621, 0.0000], [0.5000, 0.5000, 0.0000], [0.0000, 0.0000, 0.0000], [0.6666, 0.8334, 0.5000], [0.1666, 0.6666, 0.5000], [0.8334, 0.3334, 0.5000], [0.3334, 0.1666, 0.5000]],
  "total_energy_ev_per_cell": -76.9,
  "sg": "P4/mbm, No. 127",
  "volume_a3_per_atom": 18.0
}

=====

(2)
{
  "formula": "ZrCuRh",
  "functional": "PBE-GGA",
  "state": "relaxed",
  "lattice_angstrom": [[4.2504, 0.0000, 0.0000], [-2.1252, 4.5530, 0.0000], [0.0000, 0.0000, 5.1314]],
  "species": ["Cu", "Cu", "Rh", "Rh", "Zr", "Zr"],
  "frac_coords": [[0.5000, 0.0000, 0.5000], [0.5000, 0.0000, 0.0000], [0.8986, 0.7971, 0.7500], [0.1014, 0.2029, 0.2500], [0.7910, 0.5820, 0.2500], [0.2090, 0.4180, 0.7500]],
  "total_energy_ev_per_cell": -43.2,
  "sg": "Cmcm, No. 63",
  "volume_a3_per_atom": 16.6
}

=====

(3)
{
  "formula": "Zr11Cu9Rh4",
  "functional": "PBE-GGA",
  "state": "relaxed",
  "lattice_angstrom": [[-2.7366, -0.0790, 1.9786], [-6.8147, -0.6687, -9.4522], [3.1717, -10.5086, 3.9675]],
  "species": ["Rh", "Rh", "Rh", "Rh", "Zr", "Zr", "Zr", "Zr", "Zr", "Zr", "Zr", "Zr", "Zr", "Zr", "Zr", "Cu", "Cu", "Cu", "Cu", "Cu", "Cu", "Cu", "Cu", "Cu"],
  "frac_coords": [[0.5000, 0.5659, 0.7480], [0.5000, 0.2520, 0.4341], [0.5000, 0.4341, 0.2520], [0.5000, 0.7480, 0.5659], [0.0000, 0.2549, 0.2549], [0.0000, 0.4082, 0.0633], [0.0000, 0.1779, 0.8221], [0.0000, 0.7451, 0.7451], [0.0000, 0.3677, 0.6323], [0.0000, 0.8221, 0.1779], [0.0000, 0.0633, 0.4082], [0.0000, 0.9367, 0.5918], [0.0000, 0.0000, 0.0000], [0.0000, 0.5918, 0.9367], [0.0000, 0.6323, 0.3677], [0.5000, 0.3734, 0.8340], [0.5000, 0.1975, 0.0384], [0.5000, 0.6266, 0.1660], [0.5000, 0.8340, 0.3734], [0.5000, 0.1660, 0.6266], [0.5000, 0.0384, 0.1975], [0.5000, 0.5000, 0.5000], [0.5000, 0.8025, 0.9616], [0.5000, 0.9616, 0.8025]],
  "total_energy_ev_per_cell": -167.7,
  "sg": "Cmmm, No. 65",
  "volume_a3_per_atom": 17.7
}

=====

(4)
{
  "formula": "Zr3CuRh2",
  "functional": "PBE-GGA",
  "state": "relaxed",
  "lattice_angstrom": [[-0.6677, -1.6866, -2.7885], [-0.4427, -2.7731, 1.7833], [-9.4145, 2.1257, 0.9686]],
  "species": ["Zr", "Zr", "Zr", "Rh", "Rh", "Cu"],
  "frac_coords": [[0.0000, 0.0000, 0.6659], [0.0000, 0.0000, 0.0000], [0.0000, 0.0000, 0.3341], [0.5000, 0.5000, 0.8326], [0.5000, 0.5000, 0.1674], [0.5000, 0.5000, 0.5000]],
  "total_energy_ev_per_cell": -47.8,
  "sg": "P4/mmm, No. 123",
  "volume_a3_per_atom": 17.9
}

=====

(5)
{
  "formula": "ZrCu2Rh2",
  "functional": "PBE-GGA",
  "state": "relaxed",
  "lattice_angstrom": [[6.9161, 0.0000, 0.0000], [0.0000, 6.9161, 0.0000], [0.0000, 0.0000, 3.1194]],
  "species": ["Rh", "Rh", "Rh", "Rh", "Zr", "Zr", "Cu", "Cu", "Cu", "Cu"],
  "frac_coords": [[0.3294, 0.1706, 0.5000], [0.1706, 0.6706, 0.5000], [0.8294, 0.3294, 0.5000], [0.6706, 0.8294, 0.5000], [0.0000, 0.0000, 0.0000], [0.5000, 0.5000, 0.0000], [0.3746, 0.8746, 0.0000], [0.6254, 0.1254, 0.0000], [0.8746, 0.6254, 0.0000], [0.1254, 0.3746, 0.0000]],
  "total_energy_ev_per_cell": -65.2,
  "sg": "P4/mbm, No. 127",
  "volume_a3_per_atom": 14.9
}

=====

(6)
{
  "formula": "ZrCu2Rh",
  "functional": "PBE-GGA",
  "state": "relaxed",
  "lattice_angstrom": [[0.0000, 3.1102, 3.1102], [3.1102, 0.0000, 3.1102], [3.1102, 3.1102, 0.0000]],
  "species": ["Zr", "Cu", "Cu", "Rh"],
  "frac_coords": [[0.0000, 0.0000, 0.0000], [0.7500, 0.7500, 0.7500], [0.2500, 0.2500, 0.2500], [0.5000, 0.5000, 0.5000]],
  "total_energy_ev_per_cell": -24.9,
  "sg": "Fm-3m, No. 225",
  "volume_a3_per_atom": 15.0
}

=====

| no. | theoretical density (Mg/m³) |
| --- | --- |
| 1 | 8.35 |
| 2 | 8.62 |
| 3 | 7.76 |
| 4 | 8.40 |
| 5 | 9.44 |
| 6 | 8.86 |